Entry 1:
{
  "formula": "LiPm2TmTe5",
  "functional": "PBE-GGA",
  "state": "optimized geometry",
  "lattice": [[2.187, -9.325, 0.000], [2.187, 9.325, 0.000], [0.000, 0.000, 13.184]],
  "species": ["Li", "Li", "Pm", "Pm", "Pm", "Pm", "Tm", "Tm", "Te", "Te", "Te", "Te", "Te", "Te", "Te", "Te", "Te", "Te"],
  "frac_coords": [[0.059, 0.941, 0.500], [0.941, 0.059, 0.000], [0.373, 0.627, 0.338], [0.394, 0.606, 0.722], [0.606, 0.394, 0.222], [0.627, 0.373, 0.838], [0.302, 0.698, 0.047], [0.698, 0.302, 0.547], [0.002, 0.998, 0.820], [0.140, 0.860, 0.035], [0.190, 0.810, 0.383], [0.218, 0.782, 0.704], [0.452, 0.548, 0.109], [0.548, 0.452, 0.609], [0.782, 0.218, 0.204], [0.810, 0.190, 0.883], [0.860, 0.140, 0.535], [0.998, 0.002, 0.320]],
  "magnetic_moment_mub_per_fu": 0.00,
  "formation_energy_uncorrected_kj_per_mol_atoms": -126
}

=====

Entry 2:
{
  "formula": "LiUTlF6",
  "functional": "PBE-GGA",
  "state": "optimized geometry",
  "lattice": [[5.739, 0.000, 0.000], [-2.870, 4.970, 0.000], [0.000, 0.000, 12.120]],
  "species": ["Li", "Li", "U", "U", "Tl", "Tl", "F", "F", "F", "F", "F", "F", "F", "F", "F", "F", "F", "F"],
  "frac_coords": [[0.333, 0.667, 0.250], [0.667, 0.333, 0.750], [0.333, 0.667, 0.750], [0.667, 0.333, 0.250], [0.000, 0.000, 0.000], [0.000, 0.000, 0.500], [0.010, 0.377, 0.154], [0.010, 0.633, 0.346], [0.367, 0.377, 0.346], [0.367, 0.990, 0.154], [0.377, 0.010, 0.654], [0.377, 0.367, 0.846], [0.623, 0.633, 0.154], [0.623, 0.990, 0.346], [0.633, 0.010, 0.846], [0.633, 0.623, 0.654], [0.990, 0.367, 0.654], [0.990, 0.623, 0.846]],
  "magnetic_moment_mub_per_fu": 2.00,
  "n_ef_per_ev_atom": 0.8456,
  "formation_energy_uncorrected_kj_per_mol_atoms": -295
}

=====

Entry 3:
{
  "formula": "Li2CuP6H20C2N6O22",
  "functional": "PBE-GGA",
  "state": "optimized geometry",
  "lattice": [[7.782, 0.000, 0.000], [2.797, 8.963, 0.000], [3.066, -0.450, 8.872]],
  "species": ["Li", "Li", "Cu", "P", "P", "P", "P", "P", "P", "H", "H", "H", "H", "H", "H", "H", "H", "H", "H", "H", "H", "H", "H", "H", "H", "H", "H", "H", "H", "C", "C", "N", "N", "N", "N", "N", "N", "O", "O", "O", "O", "O", "O", "O", "O", "O", "O", "O", "O", "O", "O", "O", "O", "O", "O", "O", "O", "O", "O"],
  "frac_coords": [[0.182, 0.145, 0.056], [0.818, 0.855, 0.944], [0.500, 0.500, 0.500], [0.267, 0.659, 0.825], [0.334, 0.340, 0.793], [0.437, 0.785, 0.010], [0.563, 0.215, 0.990], [0.666, 0.660, 0.207], [0.733, 0.341, 0.175], [0.066, 0.541, 0.204], [0.075, 0.610, 0.577], [0.152, 0.936, 0.699], [0.164, 0.582, 0.404], [0.194, 0.840, 0.455], [0.209, 0.101, 0.714], [0.218, 0.393, 0.216], [0.257, 0.945, 0.299], [0.333, 0.221, 0.497], [0.347, 0.159, 0.321], [0.653, 0.841, 0.679], [0.667, 0.779, 0.503], [0.743, 0.055, 0.701], [0.782, 0.607, 0.784], [0.791, 0.899, 0.286], [0.806, 0.160, 0.545], [0.836, 0.418, 0.596], [0.848, 0.064, 0.301], [0.925, 0.390, 0.423], [0.934, 0.459, 0.796], [0.244, 0.036, 0.498], [0.756, 0.964, 0.502], [0.198, 0.023, 0.647], [0.225, 0.935, 0.413], [0.305, 0.150, 0.435], [0.695, 0.850, 0.565], [0.775, 0.065, 0.587], [0.802, 0.977, 0.353], [0.091, 0.782, 0.830], [0.112, 0.478, 0.277], [0.172, 0.633, 0.490], [0.209, 0.506, 0.870], [0.219, 0.236, 0.857], [0.296, 0.933, 0.070], [0.335, 0.675, 0.966], [0.377, 0.225, 0.112], [0.399, 0.348, 0.624], [0.439, 0.629, 0.684], [0.480, 0.695, 0.154], [0.520, 0.305, 0.846], [0.561, 0.371, 0.316], [0.601, 0.652, 0.376], [0.623, 0.775, 0.888], [0.665, 0.325, 0.034], [0.704, 0.067, 0.930], [0.781, 0.764, 0.143], [0.791, 0.494, 0.130], [0.828, 0.367, 0.510], [0.888, 0.522, 0.723], [0.909, 0.218, 0.170]],
  "magnetic_moment_mub_per_fu": 1.00,
  "e_tot_ev_per_cell": -361.05
}

=====

Entry 4:
{
  "formula": "HfScS2",
  "functional": "PBE-GGA",
  "state": "optimized geometry",
  "lattice": [[0.000, 3.201, 3.201], [3.201, 0.000, 3.201], [3.201, 3.201, 0.000]],
  "species": ["Hf", "Sc", "S", "S"],
  "frac_coords": [[0.000, 0.000, 0.000], [0.500, 0.500, 0.500], [0.250, 0.250, 0.250], [0.750, 0.750, 0.750]],
  "magnetic_moment_mub_per_fu": 0.00,
  "de_polymorph_ev_per_atom": 0.286,
  "n_ef_per_ev_atom": 0.6143,
  "formation_energy_uncorrected_kj_per_mol_atoms": -125
}

=====

Entry 5:
{
  "formula": "TbNd2Cd8",
  "functional": "PBE-GGA",
  "state": "optimized geometry",
  "lattice": [[4.206, -8.019, 0.000], [4.206, 8.019, 0.000], [-3.403, 0.000, 4.135]],
  "species": ["Tb", "Nd", "Nd", "Cd", "Cd", "Cd", "Cd", "Cd", "Cd", "Cd", "Cd"],
  "frac_coords": [[0.000, 0.000, 0.000], [0.309, 0.691, 0.500], [0.691, 0.309, 0.500], [0.102, 0.352, 0.729], [0.198, 0.802, 0.000], [0.352, 0.102, 0.729], [0.496, 0.496, 0.743], [0.504, 0.504, 0.257], [0.648, 0.898, 0.271], [0.802, 0.198, 0.000], [0.898, 0.648, 0.271]],
  "magnetic_moment_mub_per_fu": 0.00,
  "n_ef_per_ev_atom": 0.5803,
  "e_form_ev_per_atom": -0.256
}

=====

Entry 6:
{
  "formula": "Be2AgW",
  "functional": "PBE-GGA",
  "state": "optimized geometry",
  "lattice": [[2.718, 0.000, 0.000], [0.000, 2.718, 0.000], [0.000, 0.000, 6.830]],
  "species": ["Be", "Be", "Ag", "W"],
  "frac_coords": [[0.000, 0.000, 0.245], [0.000, 0.000, 0.755], [0.500, 0.500, 0.000], [0.500, 0.500, 0.500]],
  "magnetic_moment_mub_per_fu": 0.00,
  "de_polymorph_ev_per_atom": 0.000,
  "n_ef_per_ev_atom": 0.2917,
  "e_form_ev_per_atom": 0.174
}

=====

Entry 7:
{
  "formula": "Ho12Er3Cd",
  "functional": "PBE-GGA",
  "state": "optimized geometry",
  "lattice": [[4.928, 0.000, 0.000], [0.000, 4.928, 0.000], [0.000, 0.000, 19.901]],
  "species": ["Ho", "Ho", "Ho", "Ho", "Ho", "Ho", "Ho", "Ho", "Ho", "Ho", "Ho", "Ho", "Er", "Er", "Er", "Cd"],
  "frac_coords": [[0.000, 0.000, 0.000], [0.000, 0.000, 0.245], [0.000, 0.000, 0.500], [0.000, 0.000, 0.755], [0.000, 0.500, 0.122], [0.000, 0.500, 0.374], [0.000, 0.500, 0.626], [0.000, 0.500, 0.878], [0.500, 0.000, 0.122], [0.500, 0.000, 0.374], [0.500, 0.000, 0.626], [0.500, 0.000, 0.878], [0.500, 0.500, 0.248], [0.500, 0.500, 0.500], [0.500, 0.500, 0.752], [0.500, 0.500, 0.000]],
  "magnetic_moment_mub_per_fu": 0.00,
  "n_ef_per_ev_atom": 1.2588,
  "e_form_ev_per_atom": -0.004
}